Entry 1:
The following is a PBE calculation of a relaxed LaDy5Sn6 crystal, from the Alexandria database.

Properties
Its formation energy is -0.624 eV per atom. Its volume is 28.74 A^3/atom.

Lattice parameters (Å, degrees): 6.1809 15.4908 7.4390 90.00 104.43 90.00
Last column: nearest neighbours and their distance in Å.
Space group C2/m (No. 12)
Unique sites:
La: 0.0000 0.0000 0.0000 [2 per cell]  6 Sn 3.23-3.35
Dy: 0.0000 0.0000 0.5000 [2 per cell]  6 Sn 3.15
Dy: 0.0000 0.3253 0.0000 [4 per cell]  6 Sn 3.13-3.19
Dy: 0.0000 0.3459 0.5000 [4 per cell]  6 Sn 3.14-3.20
Sn: 0.0096 0.1716 0.7290 [8 per cell]  5 Dy 3.13-3.20, 1 La 3.35, 1 Sn 3.38
Sn: 0.0173 0.5000 0.2307 [4 per cell]  5 Dy 3.14-3.19, 1 La 3.23, 1 Sn 3.39

***

Entry 2:
The following is a PBE calculation of a relaxed LaDy2Sn crystal, from the Alexandria database.

Properties
Its formation energy is -0.171 eV per atom. As for the energy above the most stable polymorph in this dataset: 6.10 kcal/mol of atoms. Its volume is 33.34 A^3/atom.

Lattice parameters (Å, degrees): 5.2033 5.2033 17.0647 90.00 90.00 120.00
Last column: nearest neighbours and their distance in Å.
Space group R3m (No. 160, hexagonal axes)
Unique sites:
La: 0.0000 0.0000 0.0000 [3 per cell]  4 Sn 3.43-3.76, 7 Dy 3.55-3.66
Dy: 0.0000 0.0000 0.5556 [3 per cell]  3 Sn 3.03
Dy: 0.0000 0.0000 0.7853 [3 per cell]  3 Sn 3.32, 3 Dy 3.49, 4 La 3.62-3.66
Sn: 0.0000 0.0000 0.2008 [3 per cell]  6 Dy 3.03-3.32

***

> Look up the volume of the first one.

28.74 A^3/atom